Record 1
# PBE LaIn4Ni2, relaxed
# Fermi-level density of states   5.3 states/eV/cell
# E   -4.12 eV/atom
# Offset from the most stable computed form   0.86 eV/f.u.
# Spin magnetization   0.000 μB per atom
data_LaIn4Ni2
_chemical_formula_sum 'La1 In4 Ni2'
_cell_length_a 8.0482
_cell_length_b 8.0482
_cell_length_c 4.4877
_cell_angle_alpha 90.00
_cell_angle_beta 90.00
_cell_angle_gamma 147.69
_space_group_name_H-M_alt 'P 1'
_space_group_IT_number 1
loop_
_space_group_symop_operation_xyz
'x,y,z'
loop_
_atom_site_label
_atom_site_type_symbol
_atom_site_fract_x
_atom_site_fract_y
_atom_site_fract_z
La1 La 0.0000 0.0000 0.0000
In1 In 0.1683 0.8317 0.5000
In2 In 0.3290 0.6710 0.0000
In3 In 0.6710 0.3290 0.0000
In4 In 0.8317 0.1683 0.5000
Ni1 Ni 0.4233 0.5767 0.5000
Ni2 Ni 0.5767 0.4233 0.5000



Record 2
# PBE LaIn6Ni7, relaxed
# Fermi-level density of states   19.9 states/eV/cell
# E   -4.65 eV/atom
# Spin magnetization   0.000 μB per atom
data_LaIn6Ni7
_chemical_formula_sum 'La2 In12 Ni14'
_cell_length_a 8.8581
_cell_length_b 8.8581
_cell_length_c 8.8581
_cell_angle_alpha 125.83
_cell_angle_beta 115.66
_cell_angle_gamma 88.94
_space_group_name_H-M_alt 'P 1'
_space_group_IT_number 1
loop_
_space_group_symop_operation_xyz
'x,y,z'
loop_
_atom_site_label
_atom_site_type_symbol
_atom_site_fract_x
_atom_site_fract_y
_atom_site_fract_z
La1 La 0.2500 0.2500 0.0000
La2 La 0.7500 0.7500 0.0000
In1 In 0.0440 0.1762 0.2202
In2 In 0.0531 0.5307 0.8630
In3 In 0.1676 0.0307 0.4775
In4 In 0.3324 0.8099 0.8630
In5 In 0.4469 0.3099 0.4775
In6 In 0.4560 0.6762 0.1322
In7 In 0.5440 0.3238 0.8678
In8 In 0.5531 0.6901 0.5225
In9 In 0.6676 0.1901 0.1370
In10 In 0.8324 0.9693 0.5225
In11 In 0.9469 0.4693 0.1370
In12 In 0.9560 0.8238 0.7798
Ni1 Ni 0.0000 0.5000 0.5000
Ni2 Ni 0.0848 0.7992 0.5421
Ni3 Ni 0.2392 0.9239 0.1631
Ni4 Ni 0.2429 0.7008 0.2856
Ni5 Ni 0.2571 0.5427 0.4579
Ni6 Ni 0.2608 0.4239 0.6847
Ni7 Ni 0.4152 0.9573 0.7144
Ni8 Ni 0.5000 0.0000 0.5000
Ni9 Ni 0.5848 0.0427 0.2856
Ni10 Ni 0.7392 0.5761 0.3153
Ni11 Ni 0.7429 0.4573 0.5421
Ni12 Ni 0.7571 0.2992 0.7144
Ni13 Ni 0.7608 0.0761 0.8369
Ni14 Ni 0.9152 0.2008 0.4579



Record 3
# PBE La6In2Ni, relaxed
# Fermi-level density of states   11.2 states/eV/cell
# E   -4.87 eV/atom
# Offset from the most stable computed form   0.00 eV/f.u.
# Spin magnetization   0.000 μB per atom
data_La6In2Ni
_chemical_formula_sum 'La6 In2 Ni1'
_cell_length_a 9.1201
_cell_length_b 9.1201
_cell_length_c 3.8827
_cell_angle_alpha 90.00
_cell_angle_beta 90.00
_cell_angle_gamma 120.00
_space_group_name_H-M_alt 'P 1'
_space_group_IT_number 1
loop_
_space_group_symop_operation_xyz
'x,y,z'
loop_
_atom_site_label
_atom_site_type_symbol
_atom_site_fract_x
_atom_site_fract_y
_atom_site_fract_z
La1 La 0.0000 0.4028 0.0000
La2 La 0.0000 0.7648 0.5000
La3 La 0.2352 0.2352 0.5000
La4 La 0.4028 0.0000 0.0000
La5 La 0.5972 0.5972 0.0000
La6 La 0.7648 0.0000 0.5000
In1 In 0.3333 0.6667 0.5000
In2 In 0.6667 0.3333 0.5000
Ni1 Ni 0.0000 0.0000 0.0000



Record 4
# PBE LaIn2Ni, relaxed
# Fermi-level density of states   3.4 states/eV/cell
# E   -4.02 eV/atom
# Spin magnetization   0.000 μB per atom
data_LaIn2Ni
_chemical_formula_sum 'La1 In2 Ni1'
_cell_length_a 6.5253
_cell_length_b 6.5253
_cell_length_c 3.6107
_cell_angle_alpha 104.80
_cell_angle_beta 104.80
_cell_angle_gamma 127.45
_space_group_name_H-M_alt 'P 1'
_space_group_IT_number 1
loop_
_space_group_symop_operation_xyz
'x,y,z'
loop_
_atom_site_label
_atom_site_type_symbol
_atom_site_fract_x
_atom_site_fract_y
_atom_site_fract_z
La1 La 0.0000 0.0000 0.0000
In1 In 0.0000 0.5000 0.5000
In2 In 0.5000 0.0000 0.5000
Ni1 Ni 0.5000 0.5000 0.0000